Density functional theory data (PBE-GGA) for a relaxed KNa2O crystal.

Unit cell a=3.8457 b=3.8457 c=10.1782 alpha=79.11 beta=79.11 gamma=60.00
With the nearest neighbours (Å) after each atom.
Element x y z (fractional)
Na1 0.8621 0.8621 0.4136  3 O 2.38
O1 0.5000 0.5000 0.5000  6 Na 2.38
Na2 0.1379 0.1379 0.5864  3 O 2.38
K1 0.0000 0.0000 0.0000  6 K 3.85, 2 Na 4.11

VASP energy: -2.873 eV per atom
crystal system: trigonal
E_form (uncorrected): -0.70 eV per atom

=====

Density functional theory data (PBE-GGA) for a relaxed Na2TaPd2 crystal.

Unit cell a=7.8785 b=7.8785 c=2.8050 alpha=90.00 beta=90.00 gamma=90.00
With the nearest neighbours (Å) after each atom.
Element x y z (fractional)
Pd1 0.8050 0.3050 0.5000  6 Na 2.60-2.85, 2 Pd 2.80
Pd2 0.3050 0.1950 0.5000  6 Na 2.60-2.85, 2 Pd 2.80
Pd3 0.6950 0.8050 0.5000  6 Na 2.60-2.85, 2 Pd 2.80
Ta1 0.0000 0.0000 0.0000  2 Ta 2.80
Pd4 0.1950 0.6950 0.5000  6 Na 2.60-2.85, 2 Pd 2.80
Na1 0.3919 0.8919 0.0000  1 Na 2.41, 2 Pd 2.60
Na2 0.8919 0.6081 0.0000  1 Na 2.41, 2 Pd 2.60
Na3 0.6081 0.1081 0.0000  1 Na 2.41, 2 Pd 2.60
Ta2 0.5000 0.5000 0.0000  2 Ta 2.80
Na4 0.1081 0.3919 0.0000  1 Na 2.41, 2 Pd 2.60

energy above the lowest structure with this stoichiometry: 0.00 eV/f.u.
VASP energy: -4.633 eV per atom
energy of formation: 0.34 eV per atom
crystal system: tetragonal

=====

Density functional theory data (PBE-GGA) for a relaxed LaSnHgAu crystal.

Unit cell a=5.2231 b=5.2231 c=5.2231 alpha=60.00 beta=60.00 gamma=60.00
With the nearest neighbours (Å) after each atom.
Element x y z (fractional)
Au1 0.0000 0.0000 0.0000  4 La 3.20, 4 Sn 3.20
La1 0.7500 0.7500 0.7500  4 Hg 3.20, 4 Au 3.20
Hg1 0.5000 0.5000 0.5000  4 Sn 3.20, 4 La 3.20
Sn1 0.2500 0.2500 0.2500  4 Hg 3.20, 4 Au 3.20

VASP energy: -3.725 eV per atom
energy of formation: -0.60 eV per atom
crystal system: cubic

=====

- Which of these has the highest VASP energy?
  KNa2O

=====

- Among the records above, which one has the lowest VASP energy?
  Na2TaPd2